[1]
This record from Alexandria describes an optimized crystal structure of Ho2CuF8. The functional is PBE-GGA.

Unit cell a=15.7855 b=3.4004 c=5.8151 alpha=90.00 beta=93.12 gamma=90.00
Space group C2/m (No. 12)
Unique sites:
Ho  0.1527  0.0000  0.3456 (multiplicity 4)
Cu  0.0000  0.5000  0.0000 (multiplicity 2)
F  0.0145  0.0000  0.2173 (multiplicity 4)
F  0.1076  0.5000  0.5335 (multiplicity 4)
F  0.1246  0.5000  0.0683 (multiplicity 4)
F  0.2450  0.0000  0.6700 (multiplicity 4)

Computed properties:
The raw formation energy is -76.634 kcal/mol of atoms.

***

[2]
This record from Alexandria describes an optimized crystal structure of BaLa2Pb. The functional is PBE-GGA.

Unit cell a=4.5677 b=4.5677 c=30.9609 alpha=90.00 beta=90.00 gamma=120.00
Space group R3m (No. 160, hexagonal axes)
Unique sites:
Ba  0.0000  0.0000  0.0000 (multiplicity 3)
La  0.0000  0.0000  0.5582 (multiplicity 3)
La  0.0000  0.0000  0.7735 (multiplicity 3)
Pb  0.0000  0.0000  0.1647 (multiplicity 3)

Computed properties:
The value obtained for the total energy is -3.96 eV per atom.

***

[3]
This record from Alexandria describes an optimized crystal structure of La2Nd2Ni. The functional is PBE-GGA.

Unit cell a=12.2715 b=3.8122 c=14.2792 alpha=90.00 beta=112.61 gamma=90.00
Space group C2/m (No. 12)
Unique sites:
La  0.0056  0.0000  0.3311 (multiplicity 4)
La  0.1731  0.5000  0.1902 (multiplicity 4)
Nd  0.1170  0.0000  0.9485 (multiplicity 4)
Nd  0.1751  0.5000  0.5672 (multiplicity 4)
Ni  0.1466  0.5000  0.8085 (multiplicity 4)

Computed properties:
The value obtained for the total energy is -5.16 eV per atom.

***

[4]
This record from Alexandria describes an optimized crystal structure of Pm2Ag2Pt. The functional is PBE-GGA.

Unit cell a=6.7008 b=12.8807 c=5.7054 alpha=90.00 beta=90.00 gamma=90.00
Space group Ibam (No. 72)
Unique sites:
Pm  0.2097  0.1621  0.0000 (multiplicity 8)
Ag  0.1507  0.4141  0.0000 (multiplicity 8)
Pt  0.0000  0.0000  0.2500 (multiplicity 4)

Computed properties:
The value obtained for the total energy is -4.67 eV per atom.

***

[5]
This record from Alexandria describes an optimized crystal structure of NaTm2Tl6. The functional is PBE-GGA.

Unit cell a=16.8634 b=8.7112 c=3.4727 alpha=90.00 beta=90.96 gamma=90.00
Space group C2/m (No. 12)
Unique sites:
Na  0.0000  0.0000  0.0000 (multiplicity 2)
Tm  0.1921  0.5000  0.4970 (multiplicity 4)
Tl  0.0000  0.3216  0.5000 (multiplicity 4)
Tl  0.1612  0.1845  0.9981 (multiplicity 8)

Computed properties:
The value obtained for the total energy is -2.77 eV per atom.

***

[6]
This record from Alexandria describes an optimized crystal structure of MgPtW2. The functional is PBE-GGA.

Unit cell a=2.7329 b=4.4118 c=5.3293 alpha=90.00 beta=90.00 gamma=90.00
Space group Pmmm (No. 47)
Unique sites:
Mg  0.0000  0.0000  0.0000 (multiplicity 1)
Pt  0.0000  0.0000  0.5000 (multiplicity 1)
W  0.5000  0.5000  0.2446 (multiplicity 2)

Computed properties:
The value obtained for the total energy is -8.26 eV per atom.

***

[7]
This record from Alexandria describes an optimized crystal structure of GdDyBeGa. The functional is PBE-GGA.

Unit cell a=7.0345 b=7.0345 c=7.0345 alpha=90.00 beta=90.00 gamma=90.00
Space group F-43m (No. 216)
Unique sites:
Gd  0.0000  0.0000  0.0000 (multiplicity 4)
Dy  0.0000  0.0000  0.5000 (multiplicity 4)
Be  0.2500  0.2500  0.7500 (multiplicity 4)
Ga  0.2500  0.2500  0.2500 (multiplicity 4)

Computed properties:
The value obtained for the total energy is -6.59 eV per atom.

***

[8]
This record from Alexandria describes an optimized crystal structure of Na4InHg15. The functional is PBE-GGA.

Unit cell a=4.7750 b=4.7750 c=23.0115 alpha=90.00 beta=90.00 gamma=90.00
Space group P4/mmm (No. 123)
Unique sites:
Na  0.0000  0.0000  0.1007 (multiplicity 2)
Na  0.0000  0.0000  0.3014 (multiplicity 2)
In  0.0000  0.0000  0.5000 (multiplicity 1)
Hg  0.0000  0.5000  0.0000 (multiplicity 2)
Hg  0.0000  0.5000  0.2007 (multiplicity 4)
Hg  0.0000  0.5000  0.3996 (multiplicity 4)
Hg  0.5000  0.5000  0.1012 (multiplicity 2)
Hg  0.5000  0.5000  0.3007 (multiplicity 2)
Hg  0.5000  0.5000  0.5000 (multiplicity 1)

Computed properties:
The value obtained for the total energy is -0.77 eV per atom.

***

Number 1: Fermi-level density of states 0.3305 states/eV per atom. Number 2: Fermi-level density of states 1.3848 states/eV per atom. Number 3: Fermi-level density of states 1.4263 states/eV per atom. Number 4: Fermi-level density of states 0.6235 states/eV per atom. Number 5: Fermi-level density of states 0.5247 states/eV per atom. Number 6: Fermi-level density of states 0.8169 states/eV per atom. Number 7: Fermi-level density of states 0.9394 states/eV per atom. Number 8: Fermi-level density of states 0.4447 states/eV per atom.